First-principles (PBE with a Hubbard U) data for a relaxed structure of CsK2NiF6, as listed in Alexandria via LeMat-Bulk.

The space group is P2_1/c (No. 14) and the conventional cell measures 6.2195, 6.7479 and 10.7900 Å, with angles of 90.00, 124.20 and 90.00 degrees. The distinct sites, in fractional coordinates, are Cs at (0.0000, 0.0000, 0.0000), K at (0.2201, 0.0292, 0.7290), Ni at (0.5000, 0.0000, 0.5000), F at (0.2193, 0.1490, 0.4800), F at (0.2572, 0.7160, 0.8922) and F at (0.4254, 0.1108, 0.3145).

The spin magnetization is 6.0 Bohr magnetons per cell. The density of states at the Fermi level is 0.00 states/eV/cell. The total energy is -4.098 eV/atom.